Be2TlOs: relaxed, PBE-GGA.

a = 8.199 Å, b = 3.205 Å, c = 4.676 Å
α = 90.00°, β = 101.87°, γ = 90.00°
Positions (direct):
Be 0.213 0.000 0.101
Be 0.287 0.500 0.899
Be 0.713 0.500 0.101
Be 0.787 0.000 0.899
Tl 0.000 0.000 0.500
Tl 0.500 0.500 0.500
Os 0.000 0.500 0.000
Os 0.500 0.000 0.000

Results
Energy above the lowest structure with this stoichiometry = 3.95 kcal/mol of atoms
Total magnetization = 0.00 μB/f.u.
Density of states at the Fermi level = 0.19 states/eV per atom